DFT (PBE) results for an optimized crystal structure of CaPPt.

V in Å³/atom: 21.2
Calculated density in g cm⁻³: 6.945
Space group: No. 14
Final energy in eV/f.u.: -16.4
Magnetization in μB/f.u.: 0.00

Unit cell a=5.7874 b=6.5721 c=7.9328 alpha=57.52 beta=90.00 gamma=90.00
Closest atoms and distances in Å follow each position.
Element x y z (fractional)
Pt (0.8470, 0.8586, 0.3754)  3 P 2.28-2.43
Pt (0.6530, 0.8586, 0.8754)  3 P 2.28-2.43
Ca (0.6353, 0.2875, 0.4194)  4 P 2.87-3.18, 2 Pt 3.11-3.18
Ca (0.8647, 0.2875, 0.9194)  4 P 2.87-3.18, 2 Pt 3.11-3.18
P (0.9162, 0.8016, 0.6903)  3 Pt 2.28-2.43
P (0.0838, 0.1984, 0.3097)  3 Pt 2.28-2.43
P (0.5838, 0.8016, 0.1903)  3 Pt 2.28-2.43
Ca (0.1353, 0.7125, 0.0806)  4 P 2.87-3.18, 2 Pt 3.11-3.18
P (0.4162, 0.1984, 0.8097)  3 Pt 2.28-2.43
Ca (0.3647, 0.7125, 0.5806)  4 P 2.87-3.18, 2 Pt 3.11-3.18
Pt (0.3470, 0.1414, 0.1246)  3 P 2.28-2.43
Pt (0.1530, 0.1414, 0.6246)  3 P 2.28-2.43

=====

DFT (PBE) results for an optimized crystal structure of Zr4CrP2.

V in Å³/atom: 20.9
Calculated density in g cm⁻³: 5.447
Space group: No. 139
Final energy in eV/f.u.: -54.5
Magnetization in μB/f.u.: 0.00

Unit cell a=4.5601 b=4.5601 c=7.7248 alpha=72.83 beta=72.83 gamma=90.00
Closest atoms and distances in Å follow each position.
Element x y z (fractional)
P (0.6342, 0.6342, 0.7315)  1 Zr 2.58
Zr (0.8183, 0.8183, 0.3634)  1 Cr 2.55, 1 P 2.58
P (0.3658, 0.3658, 0.2685)  1 Zr 2.58
Zr (0.1817, 0.1817, 0.6366)  1 Cr 2.55, 1 P 2.58
Zr (0.5000, 0.0000, 0.0000)  2 Cr 2.28
Zr (0.0000, 0.5000, 0.0000)  2 Cr 2.28
Cr (0.0000, 0.0000, 0.0000)  6 Zr 2.28-2.55

=====

DFT (PBE) results for an optimized crystal structure of MgFeTe.

V in Å³/atom: 20.1
Calculated density in g cm⁻³: 5.722
Space group: No. 8
Final energy in eV/f.u.: -12.9
Formation energy (no corrections) in kJ per mole of atoms: 11
Magnetization in μB/f.u.: 0.51

Unit cell a=6.8550 b=7.5495 c=3.1484 alpha=65.23 beta=62.54 gamma=24.65
Closest atoms and distances in Å follow each position.
Element x y z (fractional)
Fe (0.0219, 0.0001, 0.9781)  4 Te 2.59, 4 Mg 2.81
Mg (0.2388, 0.5007, 0.7612)  4 Fe 2.81, 2 Te 3.04-3.05
Te (0.7393, 0.4992, 0.2607)  4 Fe 2.59